## one
# PmZnAs2

A geometry-optimized PmZnAs2 structure (PBE-GGA, Alexandria via LeMat-Bulk).

Properties
* spin magnetization: 0.000 μB per cell
* Fermi-level density of states: 4.30 states/eV per cell
* calculated density: 7.10 g cm⁻³
* SG: P4/nmm, No. 129

Cell: 4.0355 4.0355 10.3517 Å, 90.00 90.00 90.00°
Last column: nearest neighbours and their distance in Å.
Atoms (fractional coordinates):
Pm 0.2500 0.2500 0.2201  8 As 3.04-3.08
Pm 0.7500 0.7500 0.7799  8 As 3.04-3.08
Zn 0.2500 0.7500 0.5000  4 As 2.66, 4 Zn 2.85
Zn 0.7500 0.2500 0.5000  4 As 2.66, 4 Zn 2.85
As 0.2500 0.2500 0.6667  4 Zn 2.66
As 0.2500 0.7500 0.0000  4 As 2.85, 4 Pm 3.04
As 0.7500 0.2500 0.0000  4 As 2.85, 4 Pm 3.04
As 0.7500 0.7500 0.3333  4 Zn 2.66

## two
# PmZnAs2

A geometry-optimized PmZnAs2 structure (PBE-GGA, Alexandria via LeMat-Bulk).

Properties
* spin magnetization: 0.000 μB per cell
* Fermi-level density of states: 2.64 states/eV per cell
* calculated density: 7.07 g cm⁻³
* SG: P4/mmm, No. 123

Cell: 3.7756 3.7756 5.9385 Å, 90.00 90.00 90.00°
Last column: nearest neighbours and their distance in Å.
Atoms (fractional coordinates):
Pm 0.0000 0.0000 0.0000  2 Zn 2.97, 8 As 3.13
Zn 0.0000 0.0000 0.5000  2 Pm 2.97, 8 As 2.98
As 0.5000 0.5000 0.2762  1 As 2.66
As 0.5000 0.5000 0.7238  1 As 2.66

Most stable structure: one